Entry 1:
Density functional theory data (PBE-GGA) for a relaxed BeCuSe2Br crystal.

The calculation puts the energy above the most stable polymorph in this dataset at 0 meV per atom.

abc: 4.220 4.220 7.334
angles: 90.00 90.00 90.00
Space group P4/mmm (No. 123)
Inequivalent atoms, fractional coordinates:
Be1 0.000 0.000 0.000 x1
Cu1 0.500 0.500 0.500 x1
Se1 0.000 0.500 0.000 x2
Br1 0.000 0.000 0.500 x1



Entry 2:
Density functional theory data (PBE-GGA) for a relaxed LiAcAlCd3 crystal.

The formation enthalpy at 0 K comes out at -15 kJ/mol of atoms.

abc: 6.802 13.068 6.482
angles: 90.00 90.00 90.00
Space group Cmcm (No. 63)
Inequivalent atoms, fractional coordinates:
Li1 0.000 0.055 0.250 x4
Ac1 0.000 0.284 0.250 x4
Al1 0.000 0.358 0.750 x4
Cd1 0.000 0.145 0.750 x4
Cd2 0.215 0.500 0.000 x8



Entry 3:
Density functional theory data (PBE-GGA) for a relaxed Mg2ZnGa2Cu5 crystal.

The formation enthalpy at 0 K comes out at -6 kJ/mol of atoms.

abc: 9.440 9.440 3.389
angles: 90.00 90.00 90.00
Space group P4/mbm (No. 127)
Inequivalent atoms, fractional coordinates:
Mg1 0.170 0.330 0.000 x4
Zn1 0.000 0.000 0.000 x2
Ga1 0.132 0.632 0.000 x4
Cu1 0.000 0.500 0.500 x2
Cu2 0.051 0.806 0.500 x8



Entry 4:
Density functional theory data (PBE-GGA) for a relaxed Y2ZrCl crystal.

The calculation puts the energy above the most stable polymorph in this dataset at 793 meV per atom.

abc: 7.581 7.581 7.581
angles: 90.00 90.00 90.00
Space group Fm-3m (No. 225)
Inequivalent atoms, fractional coordinates:
Y1 0.250 0.250 0.250 x8
Zr1 0.000 0.000 0.000 x4
Cl1 0.000 0.000 0.500 x4



Entry 5:
Density functional theory data (PBE-GGA) for a relaxed La4GaTeSe2 crystal.

The value obtained for the final energy is -45.035 eV/cell.

abc: 7.667 4.359 7.762
angles: 90.00 108.78 90.00
Space group P2/m (No. 10)
Inequivalent atoms, fractional coordinates:
La1 0.240 0.000 0.235 x2
La2 0.245 0.500 0.755 x2
Ga1 0.500 0.000 0.000 x1
Te1 0.500 0.500 0.500 x1
Se1 0.000 0.000 0.500 x1
Se2 0.000 0.500 0.000 x1



Entry 6:
Density functional theory data (PBE-GGA) for a relaxed LiSmMg2 crystal.

The calculation puts the energy above the most stable polymorph in this dataset at 48 meV per atom. The formation enthalpy at 0 K comes out at 0 kJ/mol of atoms.

abc: 7.372 7.372 7.372
angles: 90.00 90.00 90.00
Space group Fm-3m (No. 225)
Inequivalent atoms, fractional coordinates:
Li1 0.000 0.000 0.000 x4
Sm1 0.000 0.000 0.500 x4
Mg1 0.250 0.250 0.250 x8



Which formula does entry 2 have?
LiAcAlCd3